VASP calculation (PBE-GGA) on an optimized crystal structure of Sr4Pt3.

```
Sr4Pt3
1.0
-2.089 2.089 12.696
2.089 -2.089 12.696
2.089 2.089 -12.696
Sr Pt
4 3
direct
0.066 0.066 0.000
0.306 0.306 0.000
0.694 0.694 0.000
0.934 0.934 0.000
0.182 0.182 0.000
0.500 0.500 0.000
0.818 0.818 0.000
```

## Properties
Space-group type ... I4/mmm (139)
Formation enthalpy at 0 K ... -615.2 meV/atom
Calculated volume ... 221.6 Å³ per cell

***

VASP calculation (PBE-GGA) on an optimized crystal structure of Sr2CaIr.

```
Sr2CaIr
1.0
3.678 0.000 0.000
0.000 3.678 0.000
0.000 0.000 10.259
Sr Ca Ir
2 1 1
direct
0.000 0.000 0.000
0.500 0.500 0.355
0.000 0.000 0.680
0.500 0.500 0.827
```

## Properties
Space-group type ... P4mm (99)
Formation enthalpy at 0 K ... -43.9 meV/atom
Calculated volume ... 138.8 Å³ per cell

***

Question: Number 1 is which compound?
Answer: Sr4Pt3

***

Question: What is the calculated volume in the second record?
Answer: 138.8 Å³ per cell

***

Question: Which formula does entry 1 have?
Answer: Sr4Pt3

***

Question: Which value of calculated volume does entry 1 give?
Answer: 221.6 Å³ per cell